This record from Alexandria describes a geometry-optimized Cr2MoAuO structure. The functional is GGA+U.

Total DFT energy (no corrections)   -0.2074 Ha/atom
Crystal system   tetragonal

Lattice parameters (Å, degrees): 5.286 3.802 5.286 90.00 90.00 90.00
Positions (direct):
Cr 0.000 0.000 0.500
Cr 0.500 0.000 0.000
Mo 0.000 0.000 0.000
Au 0.500 0.500 0.500
O 0.000 0.500 0.000